Entry 1:
An optimized crystal structure of CdTc2Sb, computed with GGA-PBEsol.

Summary:
- raw formation energy (eV per atom) = 0.615
- E (eV/cell) = -25.83

abc: 4.5803 4.5803 4.5803
angles: 60.00 60.00 60.00
Last column: nearest neighbours and their distance in Å.
Fractional positions:
Cd (0.0000, 0.0000, 0.0000)  4 Tc 2.80, 4 Sb 2.80
Tc (0.2500, 0.2500, 0.2500)  4 Cd 2.80, 4 Tc 2.80
Tc (0.5000, 0.5000, 0.5000)  4 Sb 2.80, 4 Tc 2.80
Sb (0.7500, 0.7500, 0.7500)  4 Cd 2.80, 4 Tc 2.80

***

Entry 2:
An optimized crystal structure of Cd2SbTe, computed with GGA-PBEsol.

Summary:
- raw formation energy (eV per atom) = 0.165
- energy above the most stable polymorph in this dataset (meV/atom) = 167
- E (eV/cell) = -9.82

abc: 5.1898 5.1898 5.1898
angles: 60.00 60.00 60.00
Last column: nearest neighbours and their distance in Å.
Fractional positions:
Cd (0.2500, 0.2500, 0.2500)  4 Te 3.18, 4 Sb 3.18
Cd (0.7500, 0.7500, 0.7500)  4 Te 3.18, 4 Sb 3.18
Sb (0.0000, 0.0000, 0.0000)  8 Cd 3.18
Te (0.5000, 0.5000, 0.5000)  8 Cd 3.18

***

Entry 3:
An optimized crystal structure of Cd2SbTe, computed with GGA-PBEsol.

Summary:
- raw formation energy (eV per atom) = -0.002
- energy above the most stable polymorph in this dataset (meV/atom) = 0
- E (eV/cell) = -10.48

abc: 3.2308 5.2488 6.2456
angles: 90.00 90.02 90.00
Last column: nearest neighbours and their distance in Å.
Fractional positions:
Cd (0.0000, 0.0000, 0.0000)  2 Te 2.91, 2 Sb 3.05-3.06, 2 Cd 3.23
Cd (0.4990, 0.5000, 0.2339)  2 Sb 2.86, 2 Te 3.15-3.16
Sb (0.5022, 0.0000, 0.4156)  4 Cd 2.86-3.06
Te (0.0018, 0.5000, 0.8004)  4 Cd 2.91-3.16, 2 Te 3.23

***

Entry 4:
An optimized crystal structure of CdSb2Te, computed with GGA-PBEsol.

Summary:
- raw formation energy (eV per atom) = 0.167
- energy above the most stable polymorph in this dataset (meV/atom) = 0
- E (eV/cell) = -13.17

abc: 3.1770 3.1770 10.4651
angles: 90.00 90.00 104.26
Last column: nearest neighbours and their distance in Å.
Fractional positions:
Cd (0.0000, 0.0000, 0.0000)  4 Sb 3.08, 4 Cd 3.18
Sb (0.5000, 0.5000, 0.2283)  2 Cd 3.08, 4 Sb 3.18, 2 Te 3.45
Sb (0.5000, 0.5000, 0.7717)  2 Cd 3.08, 4 Sb 3.18, 2 Te 3.45
Te (0.0000, 0.0000, 0.5000)  4 Te 3.18, 4 Sb 3.45